No. 1
VASP calculation (PBE-GGA) on an optimized crystal structure of SrZrN2.

Output
Fermi-level density of states = 3.1 states/eV/f.u.
VASP energy = -0.248 hartree per atom
raw formation energy = -0.02 eV per atom
total magnetization = 1.09 μB per formula unit

a b c (Å): 3.8756 3.8756 19.8882
angles (deg): 90.00 90.00 120.00
Space group R-3m (No. 166, hexagonal axes)
Symmetry-distinct sites (fractional):
1 Sr 0.0000 0.0000 0.0000 (multiplicity 3)
2 Zr 0.0000 0.0000 0.5000 (multiplicity 3)
3 N 0.0000 0.0000 0.4014 (multiplicity 6)


No. 2
VASP calculation (PBE-GGA) on an optimized crystal structure of SrZrN.

Output
Fermi-level density of states = 1.9 states/eV/f.u.
VASP energy = -0.253 hartree per atom
raw formation energy = -0.71 eV per atom
total magnetization = 0.00 μB per formula unit
energy above the lowest structure with this stoichiometry = 0.55 eV per formula unit

a b c (Å): 11.495 3.337 7.054
angles (deg): 90.00 90.02 90.00
Space group Cm (No. 8)
Symmetry-distinct sites (fractional):
1 Sr 0.000 0.000 0.000 (multiplicity 2)
2 Sr 0.248 0.000 0.310 (multiplicity 2)
3 Zr 0.013 0.500 0.571 (multiplicity 2)
4 Zr 0.253 0.500 0.752 (multiplicity 2)
5 N 0.127 0.000 0.665 (multiplicity 2)
6 N 0.383 0.000 0.776 (multiplicity 2)


No. 3
VASP calculation (PBE-GGA) on an optimized crystal structure of SrZrN2.

Output
Fermi-level density of states = 1.4 states/eV/f.u.
VASP energy = -0.250 hartree per atom
raw formation energy = -0.09 eV per atom
total magnetization = 0.00 μB per formula unit

a b c (Å): 6.010 6.010 6.010
angles (deg): 90.00 90.00 90.00
Space group Fm-3m (No. 225)
Symmetry-distinct sites (fractional):
1 Sr 0.000 0.000 0.000 (multiplicity 4)
2 Zr 0.000 0.000 0.500 (multiplicity 4)
3 N 0.250 0.250 0.250 (multiplicity 8)


No. 4
VASP calculation (PBE-GGA) on an optimized crystal structure of Sr5Zr2N6.

Output
VASP energy = -0.247 hartree per atom
raw formation energy = -0.91 eV per atom
total magnetization = 0.00 μB per formula unit
energy above the lowest structure with this stoichiometry = 0.39 eV per formula unit

a b c (Å): 3.685 11.677 12.562
angles (deg): 90.00 90.09 90.00
Space group P2_1 (No. 4)
Symmetry-distinct sites (fractional):
1 Sr 0.006 0.000 0.020 (multiplicity 2)
2 Sr 0.006 0.000 0.480 (multiplicity 2)
3 Sr 0.007 0.708 0.772 (multiplicity 2)
4 Sr 0.010 0.292 0.728 (multiplicity 2)
5 Sr 0.066 0.500 0.250 (multiplicity 2)
6 Zr 0.497 0.239 0.515 (multiplicity 2)
7 Zr 0.497 0.761 0.985 (multiplicity 2)
8 N 0.000 0.271 0.928 (multiplicity 2)
9 N 0.001 0.729 0.572 (multiplicity 2)
10 N 0.475 0.107 0.628 (multiplicity 2)
11 N 0.475 0.894 0.872 (multiplicity 2)
12 N 0.499 0.618 0.891 (multiplicity 2)
13 N 0.499 0.882 0.391 (multiplicity 2)


No. 5
VASP calculation (PBE-GGA) on an optimized crystal structure of Ta5N6.

Output
Fermi-level density of states = 3.6 states/eV/f.u.
VASP energy = -0.407 hartree per atom
raw formation energy = -1.14 eV per atom
total magnetization = 0.00 μB per formula unit
energy above the lowest structure with this stoichiometry = 0.00 eV per formula unit

a b c (Å): 5.2198 5.2198 10.4563
angles (deg): 90.00 90.00 120.00
Space group P6_3/mcm (No. 193)
Symmetry-distinct sites (fractional):
1 Ta 0.0000 0.3239 0.2500 (multiplicity 6)
2 Ta 0.3333 0.6667 0.0000 (multiplicity 4)
3 N 0.0000 0.3396 0.6220 (multiplicity 12)


No. 6
VASP calculation (PBE-GGA) on an optimized crystal structure of Ta5N6.

Output
Fermi-level density of states = 2.2 states/eV/f.u.
VASP energy = -0.376 hartree per atom
raw formation energy = -0.29 eV per atom
total magnetization = 0.00 μB per formula unit
energy above the lowest structure with this stoichiometry = 9.31 eV per formula unit

a b c (Å): 6.5647 6.5647 6.5362
angles (deg): 90.00 90.00 120.00
Space group P6_3/mcm (No. 193)
Symmetry-distinct sites (fractional):
1 Ta 0.0000 0.2406 0.2500 (multiplicity 6)
2 Ta 0.3333 0.6667 0.0000 (multiplicity 4)
3 N 0.0000 0.3298 0.5697 (multiplicity 12)


- What is the total magnetization in the fifth record?
  0.00 μB per formula unit


- Which value of raw formation energy does entry 4 give?
  -0.91 eV per atom


- VASP energy of number 4 (Sr5Zr2N6)?
  -0.247 hartree per atom


What did the first record say?
VASP calculation (PBE-GGA) on an optimized crystal structure of SrZrN2.

Output
Fermi-level density of states = 3.1 states/eV/f.u.
VASP energy = -0.248 hartree per atom
raw formation energy = -0.02 eV per atom
total magnetization = 1.09 μB per formula unit

a b c (Å): 3.8756 3.8756 19.8882
angles (deg): 90.00 90.00 120.00
Space group R-3m (No. 166, hexagonal axes)
Symmetry-distinct sites (fractional):
1 Sr 0.0000 0.0000 0.0000 (multiplicity 3)
2 Zr 0.0000 0.0000 0.5000 (multiplicity 3)
3 N 0.0000 0.0000 0.4014 (multiplicity 6)